VASP calculation (PBE) on a relaxed AgRuRh2 crystal.

Summary:
Calculated formation energy ... 247 meV/atom
Crystal system ... tetragonal
Relative energy among the computed polymorphs ... 0.121 eV/atom
Symmetry ... P4mm
Final energy ... -6.46 eV per atom

extended XYZ file:
```
4
Lattice="-1.507 -2.281 0.009 2.263 -1.496 -0.344 0.857 -0.535 7.956" Properties=species:S:1:pos:R:3 pbc="T T T"
Ag 1.020 -2.289 5.794
Rh 0.013 -0.008 0.123
Rh 0.596 -2.025 1.860
Ru 0.411 -0.257 3.822
```


VASP calculation (PBE) on a relaxed ErTePd crystal.

Summary:
Crystal system ... tetragonal
Formation energy from raw total energies ... -0.807 eV per atom
Symmetry ... I4mm
Final energy ... -5.11 eV per atom

extended XYZ file:
```
3
Lattice="-1.454 -3.613 -0.358 3.435 -1.494 1.124 -2.355 2.673 3.949" Properties=species:S:1:pos:R:3 pbc="T T T"
Te 0.645 -2.523 1.481
Pd -0.208 -2.449 4.186
Er -0.776 0.068 2.462
```


VASP calculation (PBE) on a relaxed Ca2MgZr crystal.

Summary:
Calculated formation energy ... 258 meV/atom
Crystal system ... orthorhombic
Symmetry ... Imm2
Final energy ... -3.28 eV per atom

extended XYZ file:
```
4
Lattice="-0.261 4.460 -5.116 -1.162 -2.038 -6.374 -2.067 0.503 6.450" Properties=species:S:1:pos:R:3 pbc="T T T"
Ca -0.011 0.019 -0.090
Ca -1.488 3.032 -1.947
Mg -0.692 1.177 -5.585
Zr -2.011 -0.093 -3.163
```


VASP calculation (PBE) on a relaxed AlTlOs2 crystal.

Summary:
Calculated formation energy ... 563 meV/atom
Crystal system ... monoclinic
Relative energy among the computed polymorphs ... 0.336 eV/atom
Symmetry ... Cm
Final energy ... -6.58 eV per atom

extended XYZ file:
```
4
Lattice="4.782 -0.008 -0.001 3.868 2.812 -0.001 0.846 0.274 4.963" Properties=species:S:1:pos:R:3 pbc="T T T"
Tl 4.728 1.533 2.487
Os 0.848 0.275 4.948
Os 7.058 2.288 3.943
Al 2.455 0.796 1.025
```


VASP calculation (PBE) on a relaxed TaTeSe crystal.

Summary:
Crystal system ... hexagonal
Formation energy from raw total energies ... 0.061 eV per atom
Relative energy among the computed polymorphs ... 0.616 eV/atom
Symmetry ... P-6m2
Final energy ... -6.10 eV per atom

extended XYZ file:
```
3
Lattice="4.590 0.000 0.000 -2.295 3.975 0.000 0.000 0.000 3.477" Properties=species:S:1:pos:R:3 pbc="T T T"
Se 0.000 0.000 0.580
Ta 2.295 1.325 0.579
Te 0.000 2.650 2.317
```


VASP calculation (PBE) on a relaxed CrIn2FeCl crystal.

Summary:
Crystal system ... tetragonal
Formation energy from raw total energies ... 0.922 eV per atom
Symmetry ... P4/mmm
Final energy ... -4.16 eV per atom

extended XYZ file:
```
5
Lattice="5.542 0.000 0.000 0.000 4.450 0.000 0.000 0.000 5.542" Properties=species:S:1:pos:R:3 pbc="T T T"
Cr 0.000 2.225 0.000
Cl 0.000 0.000 0.000
Fe 2.771 2.225 2.771
In 0.000 0.000 2.771
In 2.771 0.000 0.000
```


VASP calculation (PBE) on a relaxed CaTa3F crystal.

Summary:
Crystal system ... cubic
Formation energy from raw total energies ... 2.670 eV per atom
Relative energy among the computed polymorphs ... 2.242 eV/atom
Symmetry ... Pm-3m
Final energy ... -5.22 eV per atom

extended XYZ file:
```
5
Lattice="-3.785 3.003 0.164 -2.124 -2.482 -3.564 -2.129 -2.862 3.263" Properties=species:S:1:pos:R:3 pbc="T T T"
Ca 0.000 0.000 0.000
F -4.019 -1.171 -0.068
Ta -1.062 -1.241 -1.782
Ta -1.065 -1.431 1.631
Ta -1.892 1.502 0.082
```


VASP calculation (PBE) on a relaxed Er6SnSb2Se3 crystal.

Summary:
Crystal system ... monoclinic
Formation energy from raw total energies ... -1.332 eV per atom
Symmetry ... C2/m
Final energy ... -5.50 eV per atom

extended XYZ file:
```
12
Lattice="-0.880 -3.243 -2.552 6.895 1.673 -4.504 3.533 -4.213 7.625" Properties=species:S:1:pos:R:3 pbc="T T T"
Er 8.431 -2.343 0.070
Er 4.637 -2.556 -1.839
Er 1.117 -3.440 0.499
Er 4.369 -7.005 3.908
Er 5.179 1.222 -3.339
Er 4.911 -3.227 2.408
Sn -0.440 -1.621 -1.276
Sb 6.214 -4.395 -0.045
Sb 3.334 -1.388 0.615
Se 3.008 -0.785 -3.528
Se 2.765 -5.216 2.186
Se 6.783 -0.568 -1.617
```